# PBE with a Hubbard U TmAgWO5, relaxed
data_TmAgWO5
_chemical_formula_sum 'Tm2 Ag2 W2 O10'
_cell_length_a 6.248
_cell_length_b 6.248
_cell_length_c 8.371
_cell_angle_alpha 109.12
_cell_angle_beta 109.12
_cell_angle_gamma 93.47
_space_group_name_H-M_alt 'P 1'
_space_group_IT_number 1
loop_
_space_group_symop_operation_xyz
'x,y,z'
loop_
_atom_site_label
_atom_site_type_symbol
_atom_site_fract_x
_atom_site_fract_y
_atom_site_fract_z
_atom_site_occupancy
Tm1 Tm 0.000 0.000 0.000 1
Tm2 Tm 0.000 0.000 0.500 1
Ag1 Ag 0.294 0.706 0.750 1
Ag2 Ag 0.706 0.294 0.250 1
W1 W 0.360 0.640 0.250 1
W2 W 0.640 0.360 0.750 1
O1 O 0.058 0.942 0.750 1
O2 O 0.234 0.748 0.420 1
O3 O 0.252 0.766 0.080 1
O4 O 0.280 0.326 0.145 1
O5 O 0.326 0.280 0.645 1
O6 O 0.674 0.720 0.355 1
O7 O 0.720 0.674 0.855 1
O8 O 0.748 0.234 0.920 1
O9 O 0.766 0.252 0.580 1
O10 O 0.942 0.058 0.250 1
# total energy = -6.98 eV/atom
# space-group type = No. 15
# DOS at the Fermi energy = 0.00 states/eV per cell